No. 1
Here is a relaxed Os2Ru2Rh crystal from the Alexandria database. Energies are from PBE-GGA.

Summary:
- Energy relative to the lowest polymorph listed for this composition: 0.0 meV per atom
- Space group: C2/m (12)

Lattice parameters (Å, degrees): 4.6961 4.6961 8.5785 90.05 90.05 48.38
Last column: nearest neighbours and their distance in Å.
Positions (direct):
Os (0.0531, 0.0531, 0.1459)  2 Os 2.66-2.70, 7 Ru 2.68-2.77, 3 Rh 2.71-2.75
Os (0.1462, 0.1462, 0.4468)  4 Os 2.67-2.77, 5 Ru 2.68-2.72, 3 Rh 2.70-2.74
Os (0.8538, 0.8538, 0.5532)  4 Os 2.67-2.77, 5 Ru 2.68-2.72, 3 Rh 2.70-2.74
Os (0.9469, 0.9469, 0.8541)  2 Os 2.66-2.70, 7 Ru 2.68-2.77, 3 Rh 2.71-2.75
Ru (0.3543, 0.3543, 0.0504)  4 Ru 2.64-2.76, 5 Os 2.68-2.71, 3 Rh 2.73-2.74
Ru (0.4492, 0.4492, 0.3532)  2 Ru 2.66-2.72, 7 Os 2.68-2.77, 3 Rh 2.72
Ru (0.5508, 0.5508, 0.6468)  2 Ru 2.66-2.72, 7 Os 2.68-2.77, 3 Rh 2.72
Ru (0.6457, 0.6457, 0.9496)  4 Ru 2.64-2.76, 5 Os 2.68-2.71, 3 Rh 2.73-2.74
Rh (0.2502, 0.2502, 0.7488)  6 Os 2.70-2.75, 6 Ru 2.72-2.74
Rh (0.7498, 0.7498, 0.2512)  6 Os 2.70-2.75, 6 Ru 2.72-2.74



No. 2
Here is a relaxed FeCuTc2 crystal from the Alexandria database. Energies are from PBE-GGA.

Summary:
- Energy relative to the lowest polymorph listed for this composition: 25.0 meV per atom
- Space group: P4/mmm (123)

Lattice parameters (Å, degrees): 3.6952 3.6952 3.8641 90.00 90.00 90.00
Last column: nearest neighbours and their distance in Å.
Positions (direct):
Fe (0.0000, 0.0000, 0.0000)  4 Cu 2.61, 8 Tc 2.67
Cu (0.5000, 0.5000, 0.0000)  4 Fe 2.61, 8 Tc 2.67
Tc (0.0000, 0.5000, 0.5000)  4 Tc 2.61, 4 Fe 2.67, 4 Cu 2.67
Tc (0.5000, 0.0000, 0.5000)  4 Tc 2.61, 4 Fe 2.67, 4 Cu 2.67



No. 3
Here is a relaxed LiInN2F crystal from the Alexandria database. Energies are from PBE-GGA.

Summary:
- Formation energy without anion corrections: 1.6 eV/f.u.
- Energy relative to the lowest polymorph listed for this composition: 0.0 meV per atom
- Space group: P4/mmm (123)

Lattice parameters (Å, degrees): 4.3025 4.3025 4.4207 90.00 90.00 90.00
Last column: nearest neighbours and their distance in Å.
Positions (direct):
Li (0.0000, 0.0000, 0.0000)  4 F 3.04, 8 N 3.08
In (0.5000, 0.5000, 0.5000)  4 N 2.15, 2 F 2.21
N (0.0000, 0.5000, 0.5000)  2 In 2.15
N (0.5000, 0.0000, 0.5000)  2 In 2.15
F (0.5000, 0.5000, 0.0000)  2 In 2.21



No. 4
Here is a relaxed CsSnOsO6 crystal from the Alexandria database. Energies are from PBE-GGA.

Summary:
- Formation energy without anion corrections: -11.8 eV/f.u.
- Space group: Imma (74)

Lattice parameters (Å, degrees): 7.4671 7.4671 7.4671 120.70 120.60 88.88
Last column: nearest neighbours and their distance in Å.
Positions (direct):
Cs (0.3777, 0.1277, 0.2500)  5 O 3.16-3.21
Cs (0.6223, 0.8723, 0.7500)  5 O 3.16-3.21
Sn (0.0000, 0.5000, 0.5000)  6 O 2.02-2.12
Sn (0.5000, 0.5000, 0.0000)  6 O 2.02-2.12
Os (0.0000, 0.0000, 0.5000)  6 O 1.88-1.91
Os (0.0000, 0.5000, 0.0000)  6 O 1.88-1.91
O (0.0456, 0.7956, 0.2500)  2 Os 1.91
O (0.0594, 0.4230, 0.2242)  1 Os 1.88
O (0.0594, 0.8352, 0.6364)  1 Os 1.88
O (0.3012, 0.1648, 0.7242)  1 Os 1.88
O (0.3012, 0.5770, 0.1364)  1 Os 1.88
O (0.3262, 0.5762, 0.7500)  2 Sn 2.02
O (0.6738, 0.4238, 0.2500)  2 Sn 2.02
O (0.6988, 0.4230, 0.8636)  1 Os 1.88
O (0.6988, 0.8352, 0.2758)  1 Os 1.88
O (0.9406, 0.1648, 0.3636)  1 Os 1.88
O (0.9406, 0.5770, 0.7758)  1 Os 1.88
O (0.9544, 0.2044, 0.7500)  2 Os 1.91